Crystalline Sc3VPd at its relaxed geometry, computed with PBE-GGA.

Unit cell a=5.0319 b=5.0319 c=5.0319 alpha=90.00 beta=90.00 gamma=90.00
Space group Pm-3m (No. 221)
Symmetry-distinct sites (fractional):
Sc: 0.0000 0.0000 0.5000 (multiplicity 3)
V: 0.5000 0.5000 0.5000 (multiplicity 1)
Pd: 0.0000 0.0000 0.0000 (multiplicity 1)

Density of states at the Fermi level: 7.47 states/eV per cell
Energy relative to the elements: 0.32 eV/atom
Total magnetic moment: 4.08 μB/cell
Relative energy among the computed polymorphs: 0.0000 eV/atom

---

Crystalline RhWC2 at its relaxed geometry, computed with PBE-GGA.

Unit cell a=4.6756 b=4.6756 c=9.3287 alpha=90.00 beta=90.00 gamma=90.00
Space group I-42d (No. 122)
Symmetry-distinct sites (fractional):
Rh: 0.0000 0.0000 0.0000 (multiplicity 4)
W: 0.0000 0.0000 0.5000 (multiplicity 4)
C: 0.2471 0.2500 0.6250 (multiplicity 8)

Density of states at the Fermi level: 6.91 states/eV per cell
Energy relative to the elements: 0.55 eV/atom
Total magnetic moment: 0.00 μB/cell
Relative energy among the computed polymorphs: 0.0000 eV/atom